# PBE BeAlRe2, relaxed
# **Distance to the lowest polymorph of the same formula**: 0.296 eV per atom
# **Energy relative to the elements**: 1.44 kcal/mol of atoms
# **DOS at the Fermi energy**: 0.485 states/eV/atom
data_BeAlRe2
_symmetry_space_group_name_H-M 'C 1 2/m 1'
_symmetry_Int_Tables_number 12
_cell_length_a 5.286
_cell_length_b 8.184
_cell_length_c 2.665
_cell_angle_alpha 90.00
_cell_angle_beta 109.37
_cell_angle_gamma 90.00
loop_
_symmetry_equiv_pos_as_xyz
'x,y,z'
'-x,-y,-z'
'-x,y,-z'
'x,-y,z'
'x+1/2,y+1/2,z'
'-x+1/2,-y+1/2,-z'
'-x+1/2,y+1/2,-z'
'x+1/2,-y+1/2,z'
loop_
_atom_site_label
_atom_site_fract_x
_atom_site_fract_y
_atom_site_fract_z
Be1 0.000 0.000 0.000
Al1 0.000 0.500 0.000
Re1 0.250 0.250 0.500



# PBE BeAl2Re, relaxed
# **Energy relative to the elements**: -0.54 kcal/mol of atoms
# **DOS at the Fermi energy**: 0.466 states/eV/atom
data_BeAl2Re
_symmetry_space_group_name_H-M 'C 1 m 1'
_symmetry_Int_Tables_number 8
_cell_length_a 9.133
_cell_length_b 2.679
_cell_length_c 4.590
_cell_angle_alpha 90.00
_cell_angle_beta 99.37
_cell_angle_gamma 90.00
loop_
_symmetry_equiv_pos_as_xyz
'x,y,z'
'x,-y,z'
'x+1/2,y+1/2,z'
'x+1/2,-y+1/2,z'
loop_
_atom_site_label
_atom_site_fract_x
_atom_site_fract_y
_atom_site_fract_z
Be1 0.000 0.000 0.000
Al1 0.025 0.500 0.534
Al2 0.257 0.500 0.240
Re1 0.275 0.000 0.755



# PBE Be2AlRe2, relaxed
# **Energy relative to the elements**: -7.61 kcal/mol of atoms
# **DOS at the Fermi energy**: 0.428 states/eV/atom
data_Be2AlRe2
_symmetry_space_group_name_H-M 'P 4/m b m'
_symmetry_Int_Tables_number 127
_symmetry_space_group_name_Hall '-P 4 2ab'
_cell_length_a 5.981
_cell_length_b 5.981
_cell_length_c 3.196
_cell_angle_alpha 90.00
_cell_angle_beta 90.00
_cell_angle_gamma 90.00
loop_
_atom_site_label
_atom_site_fract_x
_atom_site_fract_y
_atom_site_fract_z
Be1 0.119 0.381 0.000
Al1 0.000 0.000 0.000
Re1 0.175 0.675 0.500



# PBE BeAlRe4, relaxed
# **Energy relative to the elements**: 12.66 kcal/mol of atoms
# **DOS at the Fermi energy**: 0.569 states/eV/atom
data_BeAlRe4
_symmetry_space_group_name_H-M 'F -4 3 m'
_symmetry_Int_Tables_number 216
_symmetry_space_group_name_Hall 'F -4 2 3'
_cell_length_a 7.277
_cell_length_b 7.277
_cell_length_c 7.277
_cell_angle_alpha 90.00
_cell_angle_beta 90.00
_cell_angle_gamma 90.00
loop_
_atom_site_label
_atom_site_fract_x
_atom_site_fract_y
_atom_site_fract_z
Be1 0.000 0.000 0.000
Al1 0.250 0.250 0.750
Re1 0.125 0.125 0.375



# PBE BeAlRe2, relaxed
# **Distance to the lowest polymorph of the same formula**: 0.415 eV per atom
# **Energy relative to the elements**: 4.18 kcal/mol of atoms
# **DOS at the Fermi energy**: 1.039 states/eV/atom
data_BeAlRe2
_symmetry_space_group_name_H-M 'I 4/m m m'
_symmetry_Int_Tables_number 139
_symmetry_space_group_name_Hall '-I 4 2'
_cell_length_a 3.722
_cell_length_b 3.722
_cell_length_c 7.880
_cell_angle_alpha 90.00
_cell_angle_beta 90.00
_cell_angle_gamma 90.00
loop_
_atom_site_label
_atom_site_fract_x
_atom_site_fract_y
_atom_site_fract_z
Be1 0.000 0.000 0.000
Al1 0.000 0.000 0.500
Re1 0.000 0.500 0.250



# PBE BeAlRe2, relaxed
# **Distance to the lowest polymorph of the same formula**: 0.232 eV per atom
# **Energy relative to the elements**: -0.03 kcal/mol of atoms
# **DOS at the Fermi energy**: 0.461 states/eV/atom
data_BeAlRe2
_symmetry_space_group_name_H-M 'P 1 m 1'
_symmetry_Int_Tables_number 6
_cell_length_a 2.784
_cell_length_b 3.988
_cell_length_c 4.969
_cell_angle_alpha 90.00
_cell_angle_beta 106.26
_cell_angle_gamma 90.00
loop_
_symmetry_equiv_pos_as_xyz
'x,y,z'
'x,-y,z'
loop_
_atom_site_label
_atom_site_fract_x
_atom_site_fract_y
_atom_site_fract_z
Be1 0.000 0.000 0.000
Al1 0.869 0.500 0.749
Re1 0.245 0.000 0.501
Re2 0.608 0.500 0.221